A geometry-optimized Al3V2O8 structure. Source: Alexandria via LeMat-Bulk, functional PBE with a Hubbard U.

Structure (CIF):
```
data_Al3V2O8
_cell_length_a 9.3947
_cell_length_b 5.6889
_cell_length_c 4.8151
_cell_angle_alpha 90.00
_cell_angle_beta 91.28
_cell_angle_gamma 90.00
_space_group_name_H-M_alt 'C 1 2/m 1'
_space_group_IT_number 12
loop_
_space_group_symop_operation_xyz
'x,y,z'
'-x,-y,-z'
'-x,y,-z'
'x,-y,z'
'x+1/2,y+1/2,z'
'-x+1/2,-y+1/2,-z'
'-x+1/2,y+1/2,-z'
'x+1/2,-y+1/2,z'
loop_
_atom_site_label
_atom_site_fract_x
_atom_site_fract_y
_atom_site_fract_z
Al1 0.0000 0.0000 0.0000
Al2 0.0000 0.2518 0.5000
V1 0.2185 0.5000 0.9851
O1 0.1002 0.5000 0.6666
O2 0.1008 0.0000 0.6834
O3 0.1282 0.2297 0.1646
```

total energy: -7.561 eV/atom
DOS(E_F): 0.123 states/eV/atom